Compound: K2NpO4
Source: the Alexandria database
Functional: PBE-GGA
Structure: optimized geometry

Computed properties:
Space-group type: I4/mmm (139)
Crystal system: tetragonal

Geometry as POSCAR:
```
K2NpO4
1.0
7.355 -0.004 0.000
4.805 5.569 0.000
-6.080 -2.782 3.064
Np K O
1 2 4
Direct
0.000 0.000 0.000
0.349 0.349 0.000
0.651 0.651 0.000
0.500 0.000 0.500
0.000 0.500 0.500
0.144 0.144 0.000
0.856 0.856 0.000
```



Compound: KNpO4
Source: the Alexandria database
Functional: PBE-GGA
Structure: optimized geometry

Computed properties:
Space-group type: P2_1/c (14)
Offset from the most stable computed form, eV/atom: 0.000
Crystal system: monoclinic

Geometry as POSCAR:
```
KNpO4
1.0
-5.151 -0.090 -2.532
1.139 -5.906 -2.107
-2.595 -0.965 5.313
K O Np
2 8 2
Direct
0.500 0.000 0.500
0.000 0.000 0.000
0.286 0.411 0.734
0.214 0.411 0.234
0.890 0.220 0.444
0.786 0.589 0.766
0.610 0.220 0.944
0.390 0.780 0.056
0.110 0.780 0.556
0.714 0.589 0.266
0.000 0.500 0.500
0.500 0.500 0.000
```



Compound: K3NpO6
Source: the Alexandria database
Functional: PBE-GGA
Structure: optimized geometry

Computed properties:
Space-group type: P2_1/c (14)
Offset from the most stable computed form, eV/atom: 0.000
Crystal system: monoclinic

Geometry as POSCAR:
```
K3NpO6
1.0
5.474 0.000 -0.033
-0.001 6.646 0.000
-0.071 0.000 9.812
O Np K
12 2 6
Direct
0.009 0.031 0.802
0.048 0.283 0.019
0.414 0.916 0.004
0.991 0.969 0.198
0.914 0.584 0.504
0.452 0.783 0.481
0.952 0.717 0.981
0.086 0.416 0.496
0.491 0.531 0.698
0.509 0.469 0.302
0.586 0.084 0.996
0.548 0.217 0.519
0.500 0.500 0.500
0.000 0.000 0.000
0.503 0.957 0.735
0.497 0.043 0.265
0.500 0.500 0.000
0.000 0.000 0.500
0.997 0.457 0.765
0.003 0.543 0.235
```



The records above yield formation energy (no corrections) values of -240 -239 -194 kJ per mole of atoms, respectively.